The following is a DFT calculation (PBE-GGA) of a relaxed Sr2LiHgPd crystal.

Structure (POSCAR):
```
Sr2LiHgPd
1.0
5.878 0.000 0.000
0.000 4.792 0.000
0.000 0.000 5.878
Sr Hg Pd Li
2 1 1 1
Direct
0.000 0.000 0.500 Sr
0.500 0.000 0.000 Sr
0.500 0.500 0.500 Hg
0.000 0.000 0.000 Pd
0.000 0.500 0.000 Li
```

Results
E_form: -158 kJ/mol of formula units
Raw total energy: -2.482 eV/atom
D(E_F): 2.3 states/eV per cell
Total magnetic moment: 0.000 μB per atom

---

The following is a DFT calculation (PBE-GGA) of a relaxed RhW2Au crystal.

Structure (POSCAR):
```
RhW2Au
1.0
-1.940 1.940 4.190
1.940 -1.940 4.190
1.940 1.940 -4.190
Rh W Au
1 2 1
Direct
0.000 0.000 0.000 Rh
0.750 0.250 0.500 W
0.250 0.750 0.500 W
0.500 0.500 0.000 Au
```

Results
E_form: 75 kJ/mol of formula units
Energy above the lowest structure with this stoichiometry: 0.085 eV per atom
Raw total energy: -8.939 eV/atom
D(E_F): 4.6 states/eV per cell
Total magnetic moment: 0.000 μB per atom